A relaxed NaAlH2 crystal. Source: Alexandria, functional PBE.

a = 4.848 Å, b = 4.497 Å, c = 6.135 Å
α = 90.00°, β = 112.99°, γ = 90.00°
Positions (direct):
Na 0.576 0.500 0.766
Na 0.913 0.000 0.368
Al 0.225 0.000 0.979
Al 0.367 0.500 0.211
H 0.850 0.000 0.894
H 0.154 0.500 0.367
H 0.701 0.500 0.438
H 0.272 0.000 0.724

As for the energy relative to the lowest polymorph listed for this composition: 0.000 eV per atom. For the spin magnetization, the calculation gives 0.000 μB per cell.



A relaxed Na2AlH crystal. Source: Alexandria, functional PBE.

a = 5.042 Å, b = 5.042 Å, c = 5.042 Å
α = 60.00°, β = 60.00°, γ = 60.00°
Positions (direct):
Na 0.250 0.250 0.250
Na 0.750 0.750 0.750
Al 0.500 0.500 0.500
H 0.000 0.000 0.000

As for the energy relative to the lowest polymorph listed for this composition: 0.326 eV per atom. For the spin magnetization, the calculation gives 0.000 μB per cell.



A relaxed Na2AlH crystal. Source: Alexandria, functional PBE.

a = 6.522 Å, b = 6.522 Å, c = 6.232 Å
α = 58.45°, β = 58.45°, γ = 90.00°
Positions (direct):
Na 0.492 0.125 0.250
Na 0.258 0.625 0.250
Na 0.375 0.508 0.750
Na 0.875 0.742 0.750
Al 0.000 0.000 0.000
Al 0.750 0.250 0.500
H 0.500 0.500 0.000
H 0.250 0.750 0.500

As for the energy relative to the lowest polymorph listed for this composition: 0.000 eV per atom. For the spin magnetization, the calculation gives 0.000 μB per cell.



A relaxed NaAlNi2H8 crystal. Source: Alexandria, functional PBE.

a = 4.481 Å, b = 4.481 Å, c = 6.295 Å
α = 69.15°, β = 69.15°, γ = 60.00°
Positions (direct):
Na 0.500 0.500 0.500
Al 0.000 0.000 0.000
Ni 0.291 0.291 0.127
Ni 0.709 0.709 0.873
H 0.205 0.205 0.385
H 0.617 0.270 0.183
H 0.795 0.795 0.615
H 0.930 0.617 0.183
H 0.070 0.383 0.817
H 0.270 0.930 0.183
H 0.730 0.070 0.817
H 0.383 0.730 0.817

For the spin magnetization, the calculation gives 0.114 μB per cell. As for the raw total energy: -0.1307 hartree per atom.



A relaxed Na3AlP2H2O9 crystal. Source: Alexandria, functional PBE.

a = 8.482 Å, b = 8.482 Å, c = 7.146 Å
α = 83.71°, β = 83.71°, γ = 49.63°
Positions (direct):
Na 0.765 0.235 0.000
Na 0.235 0.765 0.000
Na 0.610 0.610 0.292
Na 0.390 0.390 0.708
Na 0.000 0.500 0.500
Na 0.500 0.000 0.500
Al 0.000 0.500 0.000
Al 0.500 0.000 0.000
P 0.377 0.377 0.225
P 0.623 0.623 0.775
P 0.118 0.118 0.292
P 0.882 0.882 0.708
H 0.060 0.060 0.602
H 0.940 0.940 0.398
H 0.192 0.192 0.823
H 0.808 0.808 0.177
O 0.477 0.477 0.210
O 0.523 0.523 0.790
O 0.334 0.334 0.430
O 0.666 0.666 0.570
O 0.168 0.527 0.118
O 0.527 0.168 0.118
O 0.832 0.473 0.882
O 0.473 0.832 0.882
O 0.990 0.349 0.224
O 0.349 0.990 0.224
O 0.010 0.651 0.776
O 0.651 0.010 0.776
O 0.024 0.024 0.242
O 0.976 0.976 0.758
O 0.118 0.118 0.517
O 0.882 0.882 0.483
O 0.242 0.242 0.894
O 0.758 0.758 0.106

For the spin magnetization, the calculation gives 0.000 μB per cell. As for the raw total energy: -0.2311 hartree per atom.



A relaxed Na2Al2Si3H6O13 crystal. Source: Alexandria, functional PBE.

a = 6.541 Å, b = 10.118 Å, c = 10.270 Å
α = 83.46°, β = 71.43°, γ = 69.04°
Positions (direct):
Na 0.381 0.009 0.759
Na 0.140 0.509 0.241
Na 0.106 0.831 0.660
Na 0.766 0.331 0.340
Al 0.665 0.573 0.571
Al 0.235 0.073 0.429
Al 0.589 0.391 0.916
Al 0.505 0.891 0.084
Si 0.230 0.504 0.730
Si 0.960 0.004 0.270
Si 0.001 0.300 0.656
Si 0.657 0.800 0.344
Si 0.713 0.668 0.842
Si 0.555 0.168 0.158
H 0.376 0.559 0.428
H 0.804 0.059 0.572
H 0.483 0.610 0.280
H 0.763 0.110 0.720
H 0.055 0.339 0.060
H 0.115 0.839 0.940
H 0.917 0.974 0.921
H 0.838 0.474 0.079
H 0.364 0.150 0.976
H 0.340 0.650 0.024
H 0.143 0.115 0.015
H 0.159 0.615 0.985
O 0.381 0.570 0.596
O 0.977 0.070 0.404
O 0.359 0.452 0.846
O 0.205 0.952 0.154
O 0.761 0.646 0.410
O 0.171 0.146 0.590
O 0.580 0.818 0.921
O 0.502 0.318 0.079
O 0.641 0.676 0.704
O 0.345 0.176 0.296
O 0.823 0.271 0.800
O 0.623 0.771 0.200
O 0.859 0.397 0.552
O 0.411 0.897 0.448
O 0.657 0.539 0.944
O 0.602 0.039 0.056
O 0.164 0.382 0.681
O 0.845 0.882 0.319
O 0.994 0.640 0.795
O 0.789 0.140 0.205
O 0.421 0.536 0.328
O 0.749 0.036 0.672
O 0.951 0.416 0.126
O 0.077 0.916 0.874
O 0.220 0.175 0.952
O 0.172 0.675 0.048

For the spin magnetization, the calculation gives 0.000 μB per cell. As for the raw total energy: -0.2359 hartree per atom.